CaPuCuRh | the Alexandria database | PBE | relaxed; formation energy = -13.98 kJ per mole of atoms; space-group type = F-43m (216)
1.0
0.000 3.469 3.469
3.469 0.000 3.469
3.469 3.469 0.000
Ca Pu Cu Rh
1 1 1 1
Cartesian
0.000 0.000 0.000
3.469 3.469 3.469
1.735 1.735 1.735
5.204 5.204 5.204


CaPuCuRu | the Alexandria database | PBE | relaxed; formation energy = 11.08 kJ per mole of atoms; space-group type = F-43m (216)
1.0
0.000 3.435 3.435
3.435 0.000 3.435
3.435 3.435 0.000
Ca Pu Cu Ru
1 1 1 1
Cartesian
0.000 0.000 0.000
3.435 3.435 3.435
1.718 1.718 1.718
5.153 5.153 5.153


CaPuCu2S4 | the Alexandria database | PBE | relaxed; space-group type = I-42m (121); energy relative to the elements, uncorrected = -1.02 eV/atom
1.0
-3.277 3.277 3.649
3.277 -3.277 3.649
3.277 3.277 -3.649
Ca Pu Cu S
1 1 2 4
Cartesian
0.000 0.000 0.000
0.000 0.000 3.649
3.277 0.000 1.825
0.000 3.277 1.825
1.634 1.634 5.478
1.634 -1.634 1.821
-1.634 1.634 1.821
1.643 1.643 1.829


Ca2PuCuS4 | the Alexandria database | PBE | relaxed; space-group type = P2/m (10); energy relative to the elements, uncorrected = -1.48 eV/atom
1.0
6.761 0.000 0.000
0.000 3.972 0.000
-2.431 0.000 6.446
Ca Pu Cu S
2 1 1 4
Cartesian
0.000 0.000 0.000
3.381 1.986 0.000
-1.215 1.986 3.223
2.165 0.000 3.223
-0.163 0.000 4.817
1.136 1.986 1.748
3.195 1.986 4.698
4.494 0.000 1.630


Ca3Pu3CuS8 | the Alexandria database | PBE | relaxed; space-group type = C2/m (12); energy relative to the elements, uncorrected = -1.59 eV/atom
1.0
6.817 -3.942 0.000
6.817 3.942 0.000
-4.546 0.000 6.533
Ca Pu Cu S
3 3 1 8
Cartesian
0.000 0.000 0.000
3.408 1.971 0.000
3.408 -1.971 0.000
1.135 1.971 3.266
1.135 -1.971 3.266
4.544 0.000 3.266
-2.273 0.000 3.266
-0.088 0.000 4.757
3.437 2.021 4.775
5.651 2.021 1.758
2.271 0.000 1.659
6.816 0.000 4.874
3.437 -2.021 4.775
5.651 -2.021 1.758
9.176 0.000 1.776


Ca2PuCuS5 | the Alexandria database | PBE | relaxed; space-group type = Cmc2_1 (36); energy relative to the elements, uncorrected = -1.41 eV/atom
1.0
1.949 -8.382 0.000
1.949 8.382 0.000
0.000 0.000 11.947
Ca Pu Cu S
4 2 2 10
Cartesian
1.949 6.624 5.973
1.949 6.461 1.774
1.949 -6.461 7.747
1.949 -6.624 0.000
1.949 4.983 10.035
1.949 -4.983 4.062
1.949 1.076 2.964
1.949 -1.076 8.938
1.949 7.563 10.116
1.949 3.467 5.874
1.949 3.304 2.245
1.949 2.359 9.892
1.949 0.036 6.974
1.949 -0.036 1.000
1.949 -2.359 3.919
1.949 -3.304 8.219
1.949 -3.467 11.847
1.949 -7.563 4.143


Values of magnetization, in order: 5.5 4.8 5.0 5.0 15.0 6.2, all in Bohr magnetons per cell.